The following is a GGA-PBE calculation of an optimized crystal structure of Hg4IrPb, from Alexandria.

The raw total energy is -40.965 eV for the cell shown. As for the formation energy: 0.589 eV per atom. As for the total magnetization: 0.000 μB/atom.

The structure belongs to space group F-43m (No. 216); the cell edges are 8.184, 8.184 and 8.184 Å and the angles 90.00°, 90.00° and 90.00°. Symmetry generates all atoms from Hg at (0.124, 0.124, 0.376), Ir at (0.250, 0.250, 0.750) and Pb at (0.000, 0.000, 0.000).

The following is a GGA-PBE calculation of an optimized crystal structure of Pm2MgBe, from Alexandria.

The raw total energy is -14.715 eV for the cell shown. As for the offset from the most stable computed form: 0.000 eV per atom. As for the formation energy: 0.027 eV per atom. As for the total magnetization: 0.000 μB/atom.

The structure belongs to space group P4/mmm (No. 123); the cell edges are 3.581, 3.581 and 7.822 Å and the angles 90.00°, 90.00° and 90.00°. Symmetry generates all atoms from Pm at (0.000, 0.000, 0.212), Mg at (0.500, 0.500, 0.500) and Be at (0.500, 0.500, 0.000).